(1)
VASP calculation (PBE) on an optimized crystal structure of LiPu2PN2.

```
6
Lattice="-1.8715 0.3911 -3.3074 -0.7463 -2.9755 2.2767 -4.7764 3.5909 3.1275" Properties=species:S:1:pos:R:3 pbc="T T T"
Pu -5.0113 1.9114 0.8554
Pu -2.3830 -0.9048 1.2414
Li -2.3882 1.7955 1.5637
P 0.0000 0.0000 0.0000
N -3.2600 0.5948 -0.2913
N -4.1342 0.4118 2.3881
```

Properties
- ΔE_f (raw) (eV per atom) = -0.94
- electronic total energy (eV per atom) = -9.71



(2)
VASP calculation (PBE) on an optimized crystal structure of Li2PuPN.

```
10
Lattice="5.7526 0.0000 0.0000 0.0000 5.7526 0.0000 -2.8763 -2.8763 4.3689" Properties=species:S:1:pos:R:3 pbc="T T T"
Li 3.8629 0.9866 0.0006
Li 1.8897 4.7660 0.0006
Li 0.9866 1.8897 0.0006
Li 4.7660 3.8629 0.0006
N 0.0000 0.0000 0.0001
N 2.8763 2.8763 0.0001
P 2.8763 0.0000 2.1849
P 0.0000 2.8763 2.1849
Pu 2.8763 2.8763 2.1846
Pu 0.0000 0.0000 2.1846
```

Properties
- ΔE_f (raw) (eV per atom) = -0.90
- electronic total energy (eV per atom) = -7.27



(3)
VASP calculation (PBE) on an optimized crystal structure of LiPS2N.

```
5
Lattice="4.8158 0.0000 0.0000 0.0000 4.8158 0.0000 0.0000 0.0000 3.1776" Properties=species:S:1:pos:R:3 pbc="T T T"
S 0.0000 2.4079 0.0000
S 2.4079 0.0000 0.0000
P 0.0000 0.0000 0.0000
Li 2.4079 2.4079 1.5888
N 0.0000 0.0000 1.5888
```

Properties
- ΔE_f (raw) (eV per atom) = 0.18
- electronic total energy (eV per atom) = -4.60